First-principles (PBE) data for crystalline ScPAu at its relaxed geometry, as listed in the Alexandria database.

Structure (CIF):
```
data_ScPAu
_cell_length_a 4.5241
_cell_length_b 4.5241
_cell_length_c 20.2937
_cell_angle_alpha 90.00
_cell_angle_beta 90.00
_cell_angle_gamma 120.00
_symmetry_space_group_name_H-M 'R -3 m'
_symmetry_Int_Tables_number 166
_symmetry_space_group_name_Hall '-R 3 2"'
loop_
_atom_site_label
_atom_site_type_symbol
_atom_site_fract_x
_atom_site_fract_y
_atom_site_fract_z
Sc1 Sc 0.0000 0.0000 0.0986
P1 P 0.0000 0.0000 0.2269
Au1 Au 0.0000 0.0000 0.3608
```

Summary:
- Calculated formation energy: -0.5757 eV/atom
- Total magnetic moment: 0.00 μB/cell

***

First-principles (PBE) data for crystalline LiGa2Sn at its relaxed geometry, as listed in the Alexandria database.

Structure (CIF):
```
data_LiGa2Sn
_cell_length_a 4.220
_cell_length_b 4.220
_cell_length_c 4.427
_cell_angle_alpha 90.00
_cell_angle_beta 90.00
_cell_angle_gamma 90.00
_symmetry_space_group_name_H-M 'P 4/m m m'
_symmetry_Int_Tables_number 123
_symmetry_space_group_name_Hall '-P 4 2'
loop_
_atom_site_label
_atom_site_type_symbol
_atom_site_fract_x
_atom_site_fract_y
_atom_site_fract_z
Li1 Li 0.000 0.000 0.000
Ga1 Ga 0.000 0.500 0.500
Sn1 Sn 0.500 0.500 0.000
```

Summary:
- Calculated formation energy: -0.1450 eV/atom
- Total magnetic moment: 0.00 μB/cell

***

First-principles (PBE) data for crystalline Zr4CdIn at its relaxed geometry, as listed in the Alexandria database.

Structure (CIF):
```
data_Zr4CdIn
_cell_length_a 8.230
_cell_length_b 8.230
_cell_length_c 8.230
_cell_angle_alpha 90.00
_cell_angle_beta 90.00
_cell_angle_gamma 90.00
_symmetry_space_group_name_H-M 'F -4 3 m'
_symmetry_Int_Tables_number 216
_symmetry_space_group_name_Hall 'F -4 2 3'
loop_
_atom_site_label
_atom_site_type_symbol
_atom_site_fract_x
_atom_site_fract_y
_atom_site_fract_z
Zr1 Zr 0.125 0.125 0.125
Cd1 Cd 0.250 0.250 0.750
In1 In 0.000 0.000 0.500
```

Summary:
- Calculated formation energy: 0.1897 eV/atom
- Total magnetic moment: 0.00 μB/cell

***

First-principles (PBE) data for crystalline Sr5Al2Bi6 at its relaxed geometry, as listed in the Alexandria database.

Structure (CIF):
```
data_Sr5Al2Bi6
_cell_length_a 13.030
_cell_length_b 15.045
_cell_length_c 4.740
_cell_angle_alpha 90.00
_cell_angle_beta 90.00
_cell_angle_gamma 90.00
_symmetry_space_group_name_H-M 'P b a m'
_symmetry_Int_Tables_number 55
loop_
_symmetry_equiv_pos_as_xyz
'x,y,z'
'-x,-y,-z'
'-x,-y,z'
'x,y,-z'
'x+1/2,-y+1/2,-z'
'-x+1/2,y+1/2,z'
'-x+1/2,y+1/2,-z'
'x+1/2,-y+1/2,z'
loop_
_atom_site_label
_atom_site_type_symbol
_atom_site_fract_x
_atom_site_fract_y
_atom_site_fract_z
Sr1 Sr 0.000 0.000 0.000
Sr2 Sr 0.093 0.248 0.000
Sr3 Sr 0.168 0.520 0.000
Al1 Al 0.173 0.709 0.500
Bi1 Bi 0.018 0.398 0.500
Bi2 Bi 0.157 0.092 0.500
Bi3 Bi 0.162 0.817 0.000
```

Summary:
- Calculated formation energy: -0.6464 eV/atom
- Total magnetic moment: 0.00 μB/cell

***

First-principles (PBE) data for crystalline TaCdAgO4 at its relaxed geometry, as listed in the Alexandria database.

Structure (CIF):
```
data_TaCdAgO4
_cell_length_a 6.278
_cell_length_b 6.446
_cell_length_c 7.102
_cell_angle_alpha 90.00
_cell_angle_beta 115.66
_cell_angle_gamma 90.00
_symmetry_space_group_name_H-M 'P 1 21/m 1'
_symmetry_Int_Tables_number 11
loop_
_symmetry_equiv_pos_as_xyz
'x,y,z'
'-x,-y,-z'
'-x,y+1/2,-z'
'x,-y+1/2,z'
loop_
_atom_site_label
_atom_site_type_symbol
_atom_site_fract_x
_atom_site_fract_y
_atom_site_fract_z
Ta1 Ta 0.231 0.250 0.144
Cd1 Cd 0.346 0.750 0.976
Ag1 Ag 0.026 0.250 0.577
O1 O 0.016 0.250 0.868
O2 O 0.028 0.250 0.282
O3 O 0.437 0.027 0.180
```

Summary:
- Total magnetic moment: 0.00 μB/cell
- E_form (uncorrected): -11.182 eV per formula unit

***

What did the fifth record say?
First-principles (PBE) data for crystalline TaCdAgO4 at its relaxed geometry, as listed in the Alexandria database.

Structure (CIF):
```
data_TaCdAgO4
_cell_length_a 6.278
_cell_length_b 6.446
_cell_length_c 7.102
_cell_angle_alpha 90.00
_cell_angle_beta 115.66
_cell_angle_gamma 90.00
_symmetry_space_group_name_H-M 'P 1 21/m 1'
_symmetry_Int_Tables_number 11
loop_
_symmetry_equiv_pos_as_xyz
'x,y,z'
'-x,-y,-z'
'-x,y+1/2,-z'
'x,-y+1/2,z'
loop_
_atom_site_label
_atom_site_type_symbol
_atom_site_fract_x
_atom_site_fract_y
_atom_site_fract_z
Ta1 Ta 0.231 0.250 0.144
Cd1 Cd 0.346 0.750 0.976
Ag1 Ag 0.026 0.250 0.577
O1 O 0.016 0.250 0.868
O2 O 0.028 0.250 0.282
O3 O 0.437 0.027 0.180
```

Summary:
- Total magnetic moment: 0.00 μB/cell
- E_form (uncorrected): -11.182 eV per formula unit